VASP calculation (GGA-PBE) on crystalline AcY2GeN4 at its relaxed geometry.

Computed properties:
Formation energy (no corrections) ... -1079 meV per atom

abc: 3.6178 11.7548 11.6968
angles: 90.00 90.00 90.00
With the nearest neighbours (Å) after each atom.
Space group Cmcm (No. 63)
Inequivalent atoms, fractional coordinates:
Ac  0.0000  0.0963  0.2500 [4 per cell]  8 N 2.82-3.14, 1 Ge 3.09
Y  0.0000  0.3691  0.0436 [8 per cell]  4 N 2.30-2.47
Ge  0.0000  0.1666  0.7500 [4 per cell]  4 N 1.89-2.03
N  0.0000  0.0000  0.0000 [4 per cell]  4 Y 2.43
N  0.0000  0.2673  0.6239 [8 per cell]  1 Ge 1.89
N  0.0000  0.4126  0.2500 [4 per cell]  2 Ge 2.03



VASP calculation (GGA-PBE) on crystalline ReBPC at its relaxed geometry.

Computed properties:
Formation energy ... 220 meV/atom
Offset from the most stable computed form ... 109 meV per atom

abc: 2.7900 2.7903 7.9210
angles: 88.30 89.03 60.01
With the nearest neighbours (Å) after each atom.
Space group P1 (No. 1)
Inequivalent atoms, fractional coordinates:
Re  0.0000  0.0000  0.0000 [1 per cell]  1 C 2.08
B  0.6646  0.6458  0.2600 [1 per cell]  3 C 1.61
P  0.3352  0.3526  0.7602 [1 per cell]  3 Re 2.49
C  0.9979  0.9790  0.2628 [1 per cell]  3 B 1.61



VASP calculation (GGA-PBE) on crystalline ZrBeMo2I at its relaxed geometry.

Computed properties:
Formation energy (no corrections) ... 1106 meV per atom

abc: 4.3264 4.3264 4.9371
angles: 90.00 90.00 90.00
With the nearest neighbours (Å) after each atom.
Space group P4/mmm (No. 123)
Inequivalent atoms, fractional coordinates:
Zr  0.0000  0.0000  0.0000 [1 per cell]  4 I 3.06, 8 Mo 3.28
Be  0.5000  0.5000  0.5000 [1 per cell]  4 Mo 2.16
Mo  0.0000  0.5000  0.5000 [2 per cell]  2 Be 2.16
I  0.5000  0.5000  0.0000 [1 per cell]  2 Be 2.47



VASP calculation (GGA-PBE) on crystalline Sr2SiAg at its relaxed geometry.

Computed properties:
Formation energy (no corrections) ... 82 meV per atom

abc: 8.5074 8.5074 7.2416
angles: 90.00 90.00 90.00
With the nearest neighbours (Å) after each atom.
Space group I-42d (No. 122)
Inequivalent atoms, fractional coordinates:
Sr  0.2383  0.7500  0.1250 [8 per cell]  2 Si 3.07, 2 Ag 3.21
Si  0.0000  0.0000  0.0000 [4 per cell]  4 Sr 3.07
Ag  0.0000  0.0000  0.5000 [4 per cell]  4 Sr 3.21



Number 1: total DFT energy (no corrections) -7.95 eV/atom, size of the total moment 0.000 μB/f.u.. Number 2: total DFT energy (no corrections) -8.22 eV/atom, size of the total moment 0.000 μB/f.u.. Number 3: total DFT energy (no corrections) -5.99 eV/atom, size of the total moment 0.000 μB/f.u.. Number 4: total DFT energy (no corrections) -2.83 eV/atom, size of the total moment 0.000 μB/f.u..